1.
Compound: PmEr4Tm2
Source: Alexandria
Functional: GGA-PBE
Structure: relaxed

a = 8.417 Å, b = 8.417 Å, c = 8.653 Å
α = 118.59°, β = 118.59°, γ = 23.97°
Sites, in units of the cell vectors:
Pm (0.000, 0.000, 0.000)
Er (0.295, 0.295, 0.706)
Er (0.359, 0.359, 0.169)
Er (0.641, 0.641, 0.831)
Er (0.705, 0.705, 0.294)
Tm (0.071, 0.071, 0.430)
Tm (0.929, 0.929, 0.570)

Output
Polymorph energy (0 for the lowest one) (meV/atom): 0
D(E_F) (states/eV/cell): 10.44
M_tot (μB per formula unit): 0.000
E_form (eV/atom): 0.03
Space group: No. 12



2.
Compound: PuHgRh
Source: Alexandria
Functional: GGA-PBE
Structure: relaxed

a = 4.851 Å, b = 4.851 Å, c = 3.072 Å
α = 90.00°, β = 90.00°, γ = 120.00°
Sites, in units of the cell vectors:
Pu (0.000, 0.000, 0.000)
Hg (0.667, 0.333, 0.499)
Rh (0.333, 0.667, 0.507)

Output
Polymorph energy (0 for the lowest one) (meV/atom): 102
D(E_F) (states/eV/cell): 9.13
M_tot (μB per formula unit): 5.546
E_form (eV/atom): -0.16
Space group: No. 156



3.
Compound: La2CrMoSe
Source: Alexandria
Functional: GGA-PBE
Structure: relaxed

a = 5.688 Å, b = 5.688 Å, c = 4.378 Å
α = 90.00°, β = 90.00°, γ = 90.00°
Sites, in units of the cell vectors:
La (0.000, 0.500, 0.000)
La (0.500, 0.000, 0.000)
Cr (0.000, 0.000, 0.500)
Mo (0.500, 0.500, 0.500)
Se (0.000, 0.000, 0.000)

Output
Formation energy from raw total energies (eV per atom): 0.529
D(E_F) (states/eV/cell): 7.11
M_tot (μB per formula unit): 2.999
Space group: No. 123



4.
Compound: U2AlGa
Source: Alexandria
Functional: GGA-PBE
Structure: relaxed

a = 3.875 Å, b = 3.875 Å, c = 4.917 Å
α = 90.00°, β = 90.00°, γ = 90.00°
Sites, in units of the cell vectors:
U (0.000, 0.500, 0.000)
U (0.500, 0.000, 0.000)
Al (0.000, 0.000, 0.500)
Ga (0.500, 0.500, 0.500)

Output
D(E_F) (states/eV/cell): 5.52
M_tot (μB per formula unit): 2.196
E_form (eV/atom): -0.13
Space group: No. 123



5.
Compound: Zr4BeTc3
Source: Alexandria
Functional: GGA-PBE
Structure: relaxed

a = 3.304 Å, b = 3.304 Å, c = 12.813 Å
α = 90.00°, β = 90.00°, γ = 90.00°
Sites, in units of the cell vectors:
Zr (0.000, 0.000, 0.119)
Zr (0.000, 0.000, 0.372)
Zr (0.000, 0.000, 0.628)
Zr (0.000, 0.000, 0.881)
Be (0.500, 0.500, 0.000)
Tc (0.500, 0.500, 0.240)
Tc (0.500, 0.500, 0.500)
Tc (0.500, 0.500, 0.760)

Output
D(E_F) (states/eV/cell): 8.91
M_tot (μB per formula unit): 0.000
E_form (eV/atom): -0.30
Space group: No. 123



6.
Compound: KRb2TlBr6
Source: Alexandria
Functional: GGA-PBE
Structure: relaxed

a = 8.063 Å, b = 8.512 Å, c = 13.938 Å
α = 90.00°, β = 124.53°, γ = 90.00°
Sites, in units of the cell vectors:
K (0.000, 0.000, 0.000)
K (0.000, 0.500, 0.500)
Rb (0.220, 0.074, 0.747)
Rb (0.220, 0.426, 0.247)
Rb (0.780, 0.574, 0.753)
Rb (0.780, 0.926, 0.253)
Tl (0.500, 0.000, 0.500)
Tl (0.500, 0.500, 0.000)
Br (0.169, 0.181, 0.450)
Br (0.169, 0.319, 0.950)
Br (0.264, 0.724, 0.438)
Br (0.264, 0.776, 0.938)
Br (0.383, 0.038, 0.270)
Br (0.383, 0.462, 0.770)
Br (0.617, 0.538, 0.230)
Br (0.617, 0.962, 0.730)
Br (0.736, 0.224, 0.062)
Br (0.736, 0.276, 0.562)
Br (0.831, 0.681, 0.050)
Br (0.831, 0.819, 0.550)

Output
Formation energy from raw total energies (eV per atom): -1.256
Polymorph energy (0 for the lowest one) (meV/atom): 0
D(E_F) (states/eV/cell): 0.00
M_tot (μB per formula unit): 0.000
Space group: No. 14



7.
Compound: ScSiHg
Source: Alexandria
Functional: GGA-PBE
Structure: relaxed

a = 5.539 Å, b = 5.539 Å, c = 5.539 Å
α = 105.51°, β = 94.77°, γ = 130.49°
Sites, in units of the cell vectors:
Sc (0.000, 0.000, 0.000)
Sc (0.000, 0.500, 0.500)
Si (0.312, 0.254, 0.558)
Si (0.697, 0.754, 0.442)
Hg (0.352, 0.750, 0.102)
Hg (0.648, 0.250, 0.898)

Output
Formation energy from raw total energies (eV per atom): -0.288
Polymorph energy (0 for the lowest one) (meV/atom): 155
D(E_F) (states/eV/cell): 3.15
M_tot (μB per formula unit): 0.000
Space group: No. 46



8.
Compound: Ba5Pb4
Source: Alexandria
Functional: GGA-PBE
Structure: relaxed

a = 8.441 Å, b = 8.441 Å, c = 8.441 Å
α = 97.32°, β = 97.32°, γ = 138.16°
Sites, in units of the cell vectors:
Ba (0.000, 0.000, 0.000)
Ba (0.321, 0.321, 0.642)
Ba (0.321, 0.679, 0.000)
Ba (0.679, 0.321, 0.000)
Ba (0.679, 0.679, 0.358)
Pb (0.000, 0.349, 0.349)
Pb (0.000, 0.651, 0.651)
Pb (0.349, 0.000, 0.349)
Pb (0.651, 0.000, 0.651)

Output
Polymorph energy (0 for the lowest one) (meV/atom): 352
D(E_F) (states/eV/cell): 8.08
M_tot (μB per formula unit): 0.000
E_form (eV/atom): -0.20
Space group: No. 139